First-principles (PBE) data for crystalline Ti2Be2W at its relaxed geometry, as listed in the Alexandria database.

a b c (Å): 3.443 3.443 5.949
angles (deg): 73.18 73.18 90.00
Positions (direct):
Be: 0.413 0.413 0.175
Ti: 0.250 0.750 0.500
W: 0.000 0.000 0.000
Be: 0.587 0.587 0.825
Ti: 0.750 0.250 0.500

Values from the calculation:
The crystal system is tetragonal. Its total moment is 0.0 μB/f.u. For the formation enthalpy at 0 K, the calculation gives 17 kJ/mol of atoms. The total energy is -35.34 eV for the cell shown. The value obtained for the energy above the lowest structure with this stoichiometry is 223 meV/atom.

---

First-principles (PBE) data for crystalline Ti2Be2W at its relaxed geometry, as listed in the Alexandria database.

a b c (Å): 6.621 6.621 3.026
angles (deg): 90.00 90.00 90.00
Positions (direct):
Ti: 0.681 0.819 0.500
Be: 0.385 0.885 0.000
W: 0.000 0.000 0.000
W: 0.500 0.500 0.000
Be: 0.885 0.615 0.000
Ti: 0.319 0.181 0.500
Ti: 0.181 0.681 0.500
Be: 0.115 0.385 0.000
Be: 0.615 0.115 0.000
Ti: 0.819 0.319 0.500

Values from the calculation:
The crystal system is tetragonal. Its total moment is 0.0 μB/f.u. For the formation enthalpy at 0 K, the calculation gives -5 kJ/mol of atoms. The total energy is -72.90 eV for the cell shown. The value obtained for the energy above the lowest structure with this stoichiometry is 0 meV/atom.

---

First-principles (PBE) data for crystalline Ti3BeW at its relaxed geometry, as listed in the Alexandria database.

a b c (Å): 4.314 4.314 4.314
angles (deg): 90.00 90.00 90.00
Positions (direct):
W: 0.500 0.500 0.500
Ti: 0.500 0.000 0.000
Ti: 0.000 0.500 0.000
Ti: 0.000 0.000 0.500
Be: 0.000 0.000 0.000

Values from the calculation:
The crystal system is cubic. Its total moment is 0.0 μB/f.u. For the formation enthalpy at 0 K, the calculation gives 62 kJ/mol of atoms. The total energy is -37.14 eV for the cell shown. The value obtained for the energy above the lowest structure with this stoichiometry is 0 meV/atom.

---

First-principles (PBE) data for crystalline TiBe4W at its relaxed geometry, as listed in the Alexandria database.

a b c (Å): 4.492 4.492 4.492
angles (deg): 60.00 60.00 60.00
Positions (direct):
Be: 0.626 0.626 0.123
Ti: 0.250 0.250 0.250
Be: 0.123 0.626 0.626
W: 0.000 0.000 0.000
Be: 0.626 0.626 0.626
Be: 0.626 0.123 0.626

Values from the calculation:
The crystal system is cubic. Its total moment is 0.0 μB/f.u. For the formation enthalpy at 0 K, the calculation gives -21 kJ/mol of atoms. The total energy is -37.07 eV for the cell shown.

---

First-principles (PBE) data for crystalline TiBe9W2 at its relaxed geometry, as listed in the Alexandria database.

a b c (Å): 4.442 4.442 13.916
angles (deg): 90.00 90.00 120.00
Positions (direct):
Be: 0.831 0.661 0.626
Be: 0.339 0.169 0.874
Be: 0.169 0.339 0.374
Be: 0.169 0.831 0.374
Be: 0.831 0.169 0.626
Be: 0.000 0.000 0.250
Be: 0.667 0.333 0.750
W: 0.333 0.667 0.535
Be: 0.661 0.831 0.374
Be: 0.169 0.831 0.126
Be: 0.661 0.831 0.126
Be: 0.333 0.667 0.250
Be: 0.000 0.000 0.750
W: 0.667 0.333 0.465
Be: 0.831 0.661 0.874
W: 0.667 0.333 0.035
Ti: 0.333 0.667 0.750
Be: 0.169 0.339 0.126
W: 0.333 0.667 0.965
Be: 0.831 0.169 0.874
Be: 0.339 0.169 0.626
Be: 0.000 0.000 0.500
Ti: 0.667 0.333 0.250
Be: 0.000 0.000 0.000

Values from the calculation:
The crystal system is hexagonal. Its total moment is 0.0 μB/f.u. For the formation enthalpy at 0 K, the calculation gives -25 kJ/mol of atoms. The total energy is -140.97 eV for the cell shown.

---

First-principles (PBE) data for crystalline TiBe2W at its relaxed geometry, as listed in the Alexandria database.

a b c (Å): 6.429 6.429 5.198
angles (deg): 51.80 51.80 90.00
Positions (direct):
Be: 0.875 0.878 0.750
Be: 0.628 0.125 0.250
Be: 0.375 0.372 0.750
Ti: 0.250 0.750 0.500
Ti: 0.500 0.500 0.000
W: 0.000 0.000 0.000
W: 0.750 0.250 0.500
Be: 0.122 0.625 0.250

Values from the calculation:
The crystal system is tetragonal. Its total moment is 0.0 μB/f.u. For the formation enthalpy at 0 K, the calculation gives 40 kJ/mol of atoms. The total energy is -53.30 eV for the cell shown. The value obtained for the energy above the lowest structure with this stoichiometry is 341 meV/atom.

---

First-principles (PBE) data for crystalline TiBeW3 at its relaxed geometry, as listed in the Alexandria database.

a b c (Å): 4.556 4.556 4.556
angles (deg): 90.00 90.00 90.00
Positions (direct):
W: 0.500 0.000 0.000
Ti: 0.000 0.000 0.000
Be: 0.500 0.500 0.500
W: 0.000 0.000 0.500
W: 0.000 0.500 0.000

Values from the calculation:
The crystal system is cubic. Its total moment is 0.0 μB/f.u. For the formation enthalpy at 0 K, the calculation gives 208 kJ/mol of atoms. The total energy is -39.68 eV for the cell shown. The value obtained for the energy above the lowest structure with this stoichiometry is 1447 meV/atom.

---

First-principles (PBE) data for crystalline TiBe10W at its relaxed geometry, as listed in the Alexandria database.

a b c (Å): 3.360 4.351 7.545
angles (deg): 90.00 90.00 90.00
Positions (direct):
Ti: 0.000 0.000 0.000
Be: 0.500 0.745 0.257
Be: 0.500 0.745 0.743
Be: 0.000 0.000 0.339
Be: 0.500 0.000 0.500
Be: 0.000 0.500 0.169
Be: 0.500 0.255 0.743
W: 0.000 0.500 0.500
Be: 0.000 0.500 0.831
Be: 0.500 0.255 0.257
Be: 0.000 0.000 0.661
Be: 0.500 0.500 0.000

Values from the calculation:
The crystal system is orthorhombic. Its total moment is 0.0 μB/f.u. For the formation enthalpy at 0 K, the calculation gives -15 kJ/mol of atoms. The total energy is -60.03 eV for the cell shown.

---

Number 1: ρ 7.7 g/cm3. Number 2: ρ 7.4 g/cm3. Number 3: ρ 7.0 g/cm3. Number 4: ρ 6.9 g/cm3. Number 5: ρ 6.9 g/cm3. Number 6: ρ 8.0 g/cm3. Number 7: ρ 10.7 g/cm3. Number 8: ρ 4.8 g/cm3.